# 1
The following is a PBE calculation of Sc2InMo after structural relaxation, from Alexandria via LeMat-Bulk.

```
Sc2InMo
1.0
3.426 0.000 0.000
0.000 3.426 0.000
0.000 0.000 6.963
Sc In Mo
2 1 1
Cartesian
0.000 0.000 1.537
0.000 0.000 5.426
1.713 1.713 3.481
1.713 1.713 0.000
```

Formation energy from the elements (eV/atom): -0.146
Total energy (eV per atom): -6.704
D(E_F) (states/eV/f.u.): 4.56
SG: No. 123


# 2
The following is a PBE calculation of PrIn3Hg3 after structural relaxation, from Alexandria via LeMat-Bulk.

```
PrIn3Hg3
1.0
7.822 0.000 0.000
0.000 7.822 0.000
0.000 0.000 7.822
Pr In Hg
2 6 6
Cartesian
0.000 0.000 0.000
3.911 3.911 3.911
0.000 1.956 3.911
0.000 5.867 3.911
1.956 3.911 0.000
3.911 0.000 1.956
3.911 0.000 5.867
5.867 3.911 0.000
0.000 3.911 1.956
0.000 3.911 5.867
1.956 0.000 3.911
3.911 1.956 0.000
3.911 5.867 0.000
5.867 0.000 3.911
```

Energy above the most stable polymorph in this dataset (meV/atom): 449
Formation energy from the elements (eV/atom): 0.270
Total energy (eV per atom): -1.716
D(E_F) (states/eV/f.u.): 3.45
SG: No. 223


# 3
The following is a PBE calculation of As5Pt after structural relaxation, from Alexandria via LeMat-Bulk.

```
As5Pt
1.0
2.982 0.000 0.000
0.000 2.982 0.000
0.000 0.000 13.076
As Pt
5 1
Cartesian
0.000 0.000 0.000
0.000 0.000 4.807
0.000 0.000 8.270
1.491 1.491 2.047
1.491 1.491 11.030
1.491 1.491 6.538
```

Energy above the most stable polymorph in this dataset (meV/atom): 262
Formation energy from the elements (eV/atom): 0.273
Total energy (eV per atom): -4.608
D(E_F) (states/eV/f.u.): 2.25
SG: No. 123


# 4
The following is a PBE calculation of Zr2CrCl after structural relaxation, from Alexandria via LeMat-Bulk.

```
Zr2CrCl
1.0
6.669 0.000 0.000
0.000 6.669 0.000
0.000 0.000 6.669
Zr Cr Cl
8 4 4
Cartesian
1.667 1.667 1.667
1.667 1.667 5.002
1.667 5.002 1.667
1.667 5.002 5.002
5.002 1.667 1.667
5.002 1.667 5.002
5.002 5.002 1.667
5.002 5.002 5.002
0.000 0.000 0.000
0.000 3.335 3.335
3.335 0.000 3.335
3.335 3.335 0.000
0.000 0.000 3.335
0.000 3.335 0.000
3.335 0.000 0.000
3.335 3.335 3.335
```

Energy above the most stable polymorph in this dataset (meV/atom): 748
Uncorrected formation energy (kJ per mole of atoms): 33.5
Total energy (eV per atom): -6.794
D(E_F) (states/eV/f.u.): 3.73
SG: No. 225


The highest total energy belongs to which entry? PrIn3Hg3